# La4InGaAg2 | Alexandria | PBE | relaxed
# **Raw total energy**: -4.299 eV/atom
# **Calculated formation energy**: -0.402 eV per atom
# **Volume**: 28.646 Å³/atom
data_La4InGaAg2
_chemical_formula_sum 'La12 In3 Ga3 Ag6'
_cell_length_a 5.4500
_cell_length_b 5.4500
_cell_length_c 26.7268
_cell_angle_alpha 90.00
_cell_angle_beta 90.00
_cell_angle_gamma 120.00
_symmetry_space_group_name_H-M 'R -3 m'
_symmetry_Int_Tables_number 166
_symmetry_space_group_name_Hall '-R 3 2"'
loop_
_atom_site_label
_atom_site_fract_x
_atom_site_fract_y
_atom_site_fract_z
_atom_site_occupancy
La1 0.0000 0.0000 0.1195 1
La2 0.0000 0.0000 0.3696 1
In1 0.0000 0.0000 0.5000 1
Ga1 0.0000 0.0000 0.0000 1
Ag1 0.0000 0.0000 0.2427 1

---

# CdFeHgGe2 | Alexandria | PBE | relaxed
# **Raw total energy**: -3.668 eV/atom
# **Calculated formation energy**: 0.115 eV per atom
# **Volume**: 21.350 Å³/atom
data_CdFeHgGe2
_chemical_formula_sum 'Cd1 Fe1 Hg1 Ge2'
_cell_length_a 4.502
_cell_length_b 4.502
_cell_length_c 5.268
_cell_angle_alpha 90.00
_cell_angle_beta 90.00
_cell_angle_gamma 90.00
_symmetry_space_group_name_H-M 'P 4/m m m'
_symmetry_Int_Tables_number 123
_symmetry_space_group_name_Hall '-P 4 2'
loop_
_atom_site_label
_atom_site_fract_x
_atom_site_fract_y
_atom_site_fract_z
_atom_site_occupancy
Cd1 0.000 0.000 0.000 1
Fe1 0.000 0.000 0.500 1
Hg1 0.500 0.500 0.000 1
Ge1 0.000 0.500 0.500 1

---

# TmGaNiPd | Alexandria | PBE | relaxed
# **Raw total energy**: -5.248 eV/atom
# **Calculated formation energy**: -0.629 eV per atom
# **Volume**: 16.545 Å³/atom
data_TmGaNiPd
_chemical_formula_sum 'Tm4 Ga4 Ni4 Pd4'
_cell_length_a 6.421
_cell_length_b 6.421
_cell_length_c 6.421
_cell_angle_alpha 90.00
_cell_angle_beta 90.00
_cell_angle_gamma 90.00
_symmetry_space_group_name_H-M 'F -4 3 m'
_symmetry_Int_Tables_number 216
_symmetry_space_group_name_Hall 'F -4 2 3'
loop_
_atom_site_label
_atom_site_fract_x
_atom_site_fract_y
_atom_site_fract_z
_atom_site_occupancy
Tm1 0.000 0.000 0.000 1
Ga1 0.000 0.000 0.500 1
Ni1 0.250 0.250 0.750 1
Pd1 0.250 0.250 0.250 1

---

# Pm2HgBi | Alexandria | PBE | relaxed
# **Raw total energy**: -3.991 eV/atom
# **Calculated formation energy**: -0.570 eV per atom
# **Volume**: 29.090 Å³/atom
data_Pm2HgBi
_chemical_formula_sum 'Pm8 Hg4 Bi4'
_cell_length_a 7.750
_cell_length_b 7.750
_cell_length_c 7.750
_cell_angle_alpha 90.00
_cell_angle_beta 90.00
_cell_angle_gamma 90.00
_symmetry_space_group_name_H-M 'F m -3 m'
_symmetry_Int_Tables_number 225
_symmetry_space_group_name_Hall '-F 4 2 3'
loop_
_atom_site_label
_atom_site_fract_x
_atom_site_fract_y
_atom_site_fract_z
_atom_site_occupancy
Pm1 0.250 0.250 0.250 1
Hg1 0.000 0.000 0.000 1
Bi1 0.000 0.000 0.500 1

---

# Sc5Sn2Pd12 | Alexandria | PBE | relaxed
# **Raw total energy**: -6.127 eV/atom
# **Calculated formation energy**: -0.759 eV per atom
# **Volume**: 17.578 Å³/atom
data_Sc5Sn2Pd12
_chemical_formula_sum 'Sc10 Sn4 Pd24'
_cell_length_a 13.405
_cell_length_b 7.437
_cell_length_c 6.761
_cell_angle_alpha 90.00
_cell_angle_beta 97.68
_cell_angle_gamma 90.00
_symmetry_space_group_name_H-M 'C 1 2/m 1'
_symmetry_Int_Tables_number 12
_symmetry_space_group_name_Hall '-C 2y'
loop_
_atom_site_label
_atom_site_fract_x
_atom_site_fract_y
_atom_site_fract_z
_atom_site_occupancy
Sc1 0.000 0.000 0.000 1
Sc2 0.165 0.500 0.431 1
Sc3 0.250 0.000 0.048 1
Sn1 0.000 0.208 0.500 1
Pd1 0.048 0.500 0.744 1
Pd2 0.104 0.299 0.091 1
Pd3 0.144 0.000 0.355 1
Pd4 0.190 0.206 0.714 1

---

# Rb2TlSb2 | Alexandria | PBE | relaxed
# **Raw total energy**: -2.783 eV/atom
# **Volume**: 40.684 Å³/atom
data_Rb2TlSb2
_chemical_formula_sum 'Rb4 Tl2 Sb4'
_cell_length_a 8.308
_cell_length_b 8.308
_cell_length_c 5.895
_cell_angle_alpha 90.00
_cell_angle_beta 90.00
_cell_angle_gamma 90.00
_symmetry_space_group_name_H-M 'P 4/m b m'
_symmetry_Int_Tables_number 127
_symmetry_space_group_name_Hall '-P 4 2ab'
loop_
_atom_site_label
_atom_site_fract_x
_atom_site_fract_y
_atom_site_fract_z
_atom_site_occupancy
Rb1 0.173 0.327 0.000 1
Tl1 0.000 0.000 0.500 1
Sb1 0.122 0.622 0.500 1

---

# CeZn2P2Pt7 | Alexandria | PBE | relaxed
# **Raw total energy**: -5.681 eV/atom
# **Calculated formation energy**: -0.548 eV per atom
# **Volume**: 18.163 Å³/atom
data_CeZn2P2Pt7
_chemical_formula_sum 'Ce2 Zn4 P4 Pt14'
_cell_length_a 5.578
_cell_length_b 5.577
_cell_length_c 14.163
_cell_angle_alpha 90.00
_cell_angle_beta 98.42
_cell_angle_gamma 90.00
_symmetry_space_group_name_H-M 'C 1 2/m 1'
_symmetry_Int_Tables_number 12
_symmetry_space_group_name_Hall '-C 2y'
loop_
_atom_site_label
_atom_site_fract_x
_atom_site_fract_y
_atom_site_fract_z
_atom_site_occupancy
Ce1 0.000 0.000 0.000 1
Zn1 0.101 0.000 0.417 1
P1 0.096 0.500 0.260 1
Pt1 0.000 0.500 0.000 1
Pt2 0.110 0.500 0.420 1
Pt3 0.189 0.250 0.835 1

---

# ZnSnBrCl2 | Alexandria | PBE | relaxed
# **Raw total energy**: -2.638 eV/atom
# **Volume**: 25.396 Å³/atom
data_ZnSnBrCl2
_chemical_formula_sum 'Zn1 Sn1 Br1 Cl2'
_cell_length_a 4.875
_cell_length_b 4.875
_cell_length_c 5.344
_cell_angle_alpha 90.00
_cell_angle_beta 90.00
_cell_angle_gamma 90.00
_symmetry_space_group_name_H-M 'P 4/m m m'
_symmetry_Int_Tables_number 123
_symmetry_space_group_name_Hall '-P 4 2'
loop_
_atom_site_label
_atom_site_fract_x
_atom_site_fract_y
_atom_site_fract_z
_atom_site_occupancy
Zn1 0.000 0.000 0.000 1
Sn1 0.500 0.500 0.500 1
Br1 0.000 0.000 0.500 1
Cl1 0.000 0.500 0.000 1

---

# SrBiF2 | Alexandria | PBE | relaxed
# **Raw total energy**: -3.936 eV/atom
# **Volume**: 24.520 Å³/atom
data_SrBiF2
_chemical_formula_sum 'Sr3 Bi3 F6'
_cell_length_a 3.6177
_cell_length_b 3.6177
_cell_length_c 25.9592
_cell_angle_alpha 90.00
_cell_angle_beta 90.00
_cell_angle_gamma 120.00
_symmetry_space_group_name_H-M 'R -3 m'
_symmetry_Int_Tables_number 166
_symmetry_space_group_name_Hall '-R 3 2"'
loop_
_atom_site_label
_atom_site_fract_x
_atom_site_fract_y
_atom_site_fract_z
_atom_site_occupancy
Sr1 0.0000 0.0000 0.0000 1
Bi1 0.0000 0.0000 0.5000 1
F1 0.0000 0.0000 0.0880 1

---

# BaTlIr4 | Alexandria | PBE | relaxed
# **Raw total energy**: -6.349 eV/atom
# **Calculated formation energy**: 0.273 eV per atom
# **Volume**: 19.646 Å³/atom
data_BaTlIr4
_chemical_formula_sum 'Ba4 Tl4 Ir16'
_cell_length_a 7.783
_cell_length_b 7.783
_cell_length_c 7.783
_cell_angle_alpha 90.00
_cell_angle_beta 90.00
_cell_angle_gamma 90.00
_symmetry_space_group_name_H-M 'F -4 3 m'
_symmetry_Int_Tables_number 216
_symmetry_space_group_name_Hall 'F -4 2 3'
loop_
_atom_site_label
_atom_site_fract_x
_atom_site_fract_y
_atom_site_fract_z
_atom_site_occupancy
Ba1 0.000 0.000 0.000 1
Tl1 0.250 0.250 0.250 1
Ir1 0.124 0.124 0.624 1

---

# MoRhBr2 | Alexandria | PBE | relaxed
# **Raw total energy**: -4.609 eV/atom
# **Volume**: 19.216 Å³/atom
data_MoRhBr2
_chemical_formula_sum 'Mo1 Rh1 Br2'
_cell_length_a 3.090
_cell_length_b 4.366
_cell_length_c 5.697
_cell_angle_alpha 90.00
_cell_angle_beta 90.00
_cell_angle_gamma 90.00
_symmetry_space_group_name_H-M 'P m m m'
_symmetry_Int_Tables_number 47
_symmetry_space_group_name_Hall '-P 2 2'
loop_
_atom_site_label
_atom_site_fract_x
_atom_site_fract_y
_atom_site_fract_z
_atom_site_occupancy
Mo1 0.000 0.000 0.000 1
Rh1 0.500 0.000 0.500 1
Br1 0.000 0.500 0.500 1
Br2 0.500 0.500 0.000 1

---

# ZnSn2HPb | Alexandria | PBE | relaxed
# **Raw total energy**: -2.986 eV/atom
# **Volume**: 21.914 Å³/atom
data_ZnSn2HPb
_chemical_formula_sum 'Zn1 Sn2 H1 Pb1'
_cell_length_a 4.637
_cell_length_b 4.637
_cell_length_c 5.095
_cell_angle_alpha 90.00
_cell_angle_beta 90.00
_cell_angle_gamma 90.00
_symmetry_space_group_name_H-M 'P 4/m m m'
_symmetry_Int_Tables_number 123
_symmetry_space_group_name_Hall '-P 4 2'
loop_
_atom_site_label
_atom_site_fract_x
_atom_site_fract_y
_atom_site_fract_z
_atom_site_occupancy
Zn1 0.000 0.000 0.000 1
Sn1 0.000 0.500 0.500 1
H1 0.000 0.000 0.500 1
Pb1 0.500 0.500 0.000 1